1.
Here is a relaxed Tl3PbI5 crystal from Alexandria via LeMat-Bulk. Energies are from GGA-PBE.

POSCAR file:
```
Tl3PbI5
1.0
9.076 0.000 0.000
0.000 9.828 0.000
0.000 0.000 16.533
Pb I Tl
4 20 12
direct
0.675 0.303 0.956
0.175 0.697 0.544
0.325 0.197 0.456
0.825 0.803 0.044
0.023 0.036 0.526
0.655 0.191 0.359
0.477 0.536 0.474
0.525 0.101 0.604
0.169 0.255 0.279
0.025 0.899 0.896
0.331 0.755 0.721
0.669 0.745 0.221
0.163 0.394 0.615
0.663 0.606 0.885
0.831 0.245 0.779
0.155 0.809 0.141
0.977 0.464 0.026
0.345 0.309 0.859
0.523 0.964 0.974
0.837 0.106 0.115
0.845 0.691 0.641
0.337 0.894 0.385
0.475 0.399 0.104
0.975 0.601 0.396
0.172 0.082 0.725
0.672 0.918 0.775
0.191 0.160 0.032
0.025 0.545 0.803
0.691 0.840 0.468
0.328 0.582 0.275
0.475 0.045 0.197
0.828 0.418 0.225
0.309 0.660 0.968
0.975 0.955 0.303
0.525 0.455 0.697
0.809 0.340 0.532
```

Summary:
**E_tot**: -2.70 eV/atom
**Crystal system**: orthorhombic
**Total magnetization**: 0.0000 μB/atom


2.
Here is a relaxed Tl2PbI2 crystal from Alexandria via LeMat-Bulk. Energies are from GGA-PBE.

POSCAR file:
```
Tl2PbI2
1.0
-4.121 2.732 3.234
-0.578 -4.834 3.348
2.269 1.172 7.298
I Tl Pb
2 2 1
direct
0.750 0.250 0.500
0.250 0.750 0.500
0.372 0.372 0.255
0.628 0.628 0.745
0.000 0.000 0.000
```

Summary:
**E_tot**: -2.31 eV/atom
**Crystal system**: tetragonal
**Total magnetization**: 0.3926 μB/atom


3.
Here is a relaxed Tl6PbI10 crystal from Alexandria via LeMat-Bulk. Energies are from GGA-PBE.

POSCAR file:
```
Tl6PbI10
1.0
-8.460 -4.857 -4.738
3.850 -3.778 9.408
-8.539 8.238 6.802
Tl I Pb
12 20 2
direct
0.620 0.646 0.501
0.616 0.969 0.251
0.380 0.026 0.001
0.974 0.354 0.001
0.031 0.647 0.251
0.353 0.384 0.251
0.384 0.353 0.751
0.646 0.620 0.001
0.969 0.616 0.751
0.354 0.974 0.501
0.647 0.031 0.751
0.026 0.380 0.501
0.333 0.667 0.874
0.667 0.333 0.374
0.259 0.004 0.253
0.742 0.996 0.998
0.667 0.333 0.878
0.258 0.254 0.498
0.667 0.333 0.158
0.333 0.667 0.658
0.333 0.667 0.378
0.996 0.742 0.498
0.255 0.996 0.753
0.667 0.333 0.593
0.996 0.255 0.253
0.745 0.741 0.253
0.004 0.746 0.998
0.254 0.258 0.998
0.333 0.667 0.093
0.004 0.259 0.753
0.746 0.004 0.498
0.741 0.745 0.753
0.000 0.000 0.875
0.000 0.000 0.375
```

Summary:
**E_tot**: -2.54 eV/atom
**Crystal system**: trigonal
**Total magnetization**: 0.0000 μB/atom


4.
Here is a relaxed TlPb2I crystal from Alexandria via LeMat-Bulk. Energies are from GGA-PBE.

POSCAR file:
```
TlPb2I
1.0
0.000 4.032 4.032
4.032 0.000 4.032
4.032 4.032 0.000
Pb I Tl
2 1 1
direct
0.750 0.750 0.750
0.250 0.250 0.250
0.000 0.000 0.000
0.500 0.500 0.500
```

Summary:
**E_tot**: -2.76 eV/atom
**Crystal system**: cubic
**Total magnetization**: 0.0000 μB/atom


5.
Here is a relaxed Tl2PbI2 crystal from Alexandria via LeMat-Bulk. Energies are from GGA-PBE.

POSCAR file:
```
Tl2PbI2
1.0
9.394 0.000 0.000
0.000 9.394 0.000
0.000 0.000 4.401
Tl I Pb
4 4 2
direct
0.153 0.653 0.500
0.847 0.347 0.500
0.347 0.153 0.500
0.653 0.847 0.500
0.654 0.154 0.000
0.154 0.346 0.000
0.846 0.654 0.000
0.346 0.846 0.000
0.500 0.500 0.000
0.000 0.000 0.000
```

Summary:
**E_tot**: -2.55 eV/atom
**Crystal system**: tetragonal
**Total magnetization**: 0.0000 μB/atom


6.
Here is a relaxed TlPb4I8 crystal from Alexandria via LeMat-Bulk. Energies are from GGA-PBE.

POSCAR file:
```
TlPb4I8
1.0
9.845 0.000 0.000
4.922 8.526 0.000
4.922 2.842 8.038
Pb I Tl
4 8 1
direct
0.371 0.887 0.371
0.887 0.371 0.371
0.371 0.371 0.887
0.371 0.371 0.371
0.136 0.136 0.136
0.610 0.610 0.170
0.170 0.610 0.610
0.610 0.610 0.610
0.136 0.136 0.593
0.136 0.593 0.136
0.610 0.170 0.610
0.593 0.136 0.136
0.750 0.750 0.750
```

Summary:
**E_tot**: -2.81 eV/atom
**Crystal system**: cubic
**Total magnetization**: 0.0000 μB/atom


Please write out number 3 again, unchanged.
Here is a relaxed Tl6PbI10 crystal from Alexandria via LeMat-Bulk. Energies are from GGA-PBE.

POSCAR file:
```
Tl6PbI10
1.0
-8.460 -4.857 -4.738
3.850 -3.778 9.408
-8.539 8.238 6.802
Tl I Pb
12 20 2
direct
0.620 0.646 0.501
0.616 0.969 0.251
0.380 0.026 0.001
0.974 0.354 0.001
0.031 0.647 0.251
0.353 0.384 0.251
0.384 0.353 0.751
0.646 0.620 0.001
0.969 0.616 0.751
0.354 0.974 0.501
0.647 0.031 0.751
0.026 0.380 0.501
0.333 0.667 0.874
0.667 0.333 0.374
0.259 0.004 0.253
0.742 0.996 0.998
0.667 0.333 0.878
0.258 0.254 0.498
0.667 0.333 0.158
0.333 0.667 0.658
0.333 0.667 0.378
0.996 0.742 0.498
0.255 0.996 0.753
0.667 0.333 0.593
0.996 0.255 0.253
0.745 0.741 0.253
0.004 0.746 0.998
0.254 0.258 0.998
0.333 0.667 0.093
0.004 0.259 0.753
0.746 0.004 0.498
0.741 0.745 0.753
0.000 0.000 0.875
0.000 0.000 0.375
```

Summary:
**E_tot**: -2.54 eV/atom
**Crystal system**: trigonal
**Total magnetization**: 0.0000 μB/atom


Q: Which of these has the highest E_tot?
A: number 2